1.
This record from the Alexandria database describes an optimized crystal structure of Nb2AlTcF. The functional is PBE-GGA.

Cell: 4.2221 4.2221 4.3351 Å, 90.00 90.00 90.00°
Last column: nearest neighbours and their distance in Å.
Space group P4/mmm (No. 123)
Asymmetric unit:
Nb: 0.0000 0.5000 0.0000  2 F 2.11
Al: 0.0000 0.0000 0.5000  2 F 2.17
Tc: 0.5000 0.5000 0.5000  4 Al 2.99, 8 Nb 3.03
F: 0.0000 0.0000 0.0000  4 Nb 2.11, 2 Al 2.17

Values from the calculation:
**E above lowest polymorph**: 0.000 eV/atom

=====

2.
This record from the Alexandria database describes an optimized crystal structure of Nb2AlTcF. The functional is PBE-GGA.

Cell: 4.8059 4.8059 4.8217 Å, 90.00 90.00 90.00°
Last column: nearest neighbours and their distance in Å.
Space group P4/mmm (No. 123)
Asymmetric unit:
Nb: 0.0000 0.5000 0.0000  2 Tc 2.40
Al: 0.0000 0.0000 0.5000  2 Tc 2.41
Tc: 0.0000 0.0000 0.0000  4 Nb 2.40, 2 Al 2.41
F: 0.5000 0.5000 0.5000  4 Al 3.40, 8 Nb 3.40

Values from the calculation:
**E above lowest polymorph**: 0.686 eV/atom

=====

Number 1: calculated total energy -0.532 Ry/atom, raw formation energy -0.020 eV per atom. Number 2: calculated total energy -0.482 Ry/atom, raw formation energy 0.666 eV per atom.